The following is a DFT calculation (PBE) of a geometry-optimized SiNi3Sb structure.

Relative energy among the computed polymorphs ... 0.000 eV/atom
Crystal system ... cubic
Theoretical density ... 6.8 g/cm3
Formation energy (no corrections) ... 0.168 eV per atom
Symmetry ... Pm-3m, No. 221

Lattice parameters (Å, degrees): 4.293 4.293 4.293 90.00 90.00 90.00
Sites, in units of the cell vectors:
Sb  0.500  0.500  0.500
Si  0.000  0.000  0.000
Ni  0.000  0.500  0.000
Ni  0.000  0.000  0.500
Ni  0.500  0.000  0.000


The following is a DFT calculation (PBE) of a geometry-optimized SiNiSb2 structure.

Crystal system ... orthorhombic
Theoretical density ... 6.8 g/cm3
Formation energy (no corrections) ... 0.203 eV per atom
Symmetry ... Imm2, No. 44

Lattice parameters (Å, degrees): 6.353 6.353 6.353 151.54 138.11 51.43
Sites, in units of the cell vectors:
Ni  0.266  0.766  0.500
Sb  0.058  0.058  0.000
Sb  0.754  0.254  0.500
Si  0.423  0.423  0.000


The following is a DFT calculation (PBE) of a geometry-optimized SiNiSb structure.

Crystal system ... tetragonal
Theoretical density ... 6.5 g/cm3
Formation energy (no corrections) ... 0.020 eV per atom
Symmetry ... P4/nmm, No. 129

Lattice parameters (Å, degrees): 3.997 3.997 6.688 90.00 90.00 90.00
Sites, in units of the cell vectors:
Si  0.000  0.500  0.799
Si  0.500  0.000  0.201
Ni  0.000  0.000  0.000
Ni  0.500  0.500  0.000
Sb  0.000  0.500  0.303
Sb  0.500  0.000  0.697


The following is a DFT calculation (PBE) of a geometry-optimized SiNiSb3 structure.

Relative energy among the computed polymorphs ... 0.000 eV/atom
Crystal system ... cubic
Theoretical density ... 6.1 g/cm3
Formation energy (no corrections) ... 0.570 eV per atom
Symmetry ... Pm-3m, No. 221

Lattice parameters (Å, degrees): 4.968 4.968 4.968 90.00 90.00 90.00
Sites, in units of the cell vectors:
Sb  0.000  0.500  0.000
Sb  0.000  0.000  0.500
Sb  0.500  0.000  0.000
Si  0.500  0.500  0.500
Ni  0.000  0.000  0.000


The following is a DFT calculation (PBE) of a geometry-optimized SiNiSb2 structure.

Crystal system ... trigonal
Theoretical density ... 6.7 g/cm3
Formation energy (no corrections) ... 0.127 eV per atom
Symmetry ... R3m, No. 160

Lattice parameters (Å, degrees): 8.717 8.717 8.717 22.01 22.01 22.01
Sites, in units of the cell vectors:
Ni  0.761  0.761  0.761
Sb  0.023  0.023  0.023
Sb  0.237  0.237  0.237
Si  0.479  0.479  0.479


The following is a DFT calculation (PBE) of a geometry-optimized SiNi6Sb structure.

Relative energy among the computed polymorphs ... 0.006 eV/atom
Crystal system ... orthorhombic
Theoretical density ... 8.8 g/cm3
Formation energy (no corrections) ... -0.281 eV per atom
Symmetry ... Cmmm, No. 65

Lattice parameters (Å, degrees): 6.267 6.267 10.288 90.00 90.00 109.75
Sites, in units of the cell vectors:
Ni  0.255  0.745  0.512
Ni  0.870  0.615  0.631
Ni  0.130  0.385  0.631
Ni  0.745  0.255  0.512
Ni  0.385  0.130  0.631
Ni  0.615  0.870  0.631
Ni  0.500  0.500  0.250
Ni  0.139  0.383  0.383
Ni  0.383  0.139  0.383
Ni  0.255  0.745  0.988
Ni  0.861  0.617  0.117
Ni  0.139  0.383  0.117
Ni  0.745  0.255  0.988
Ni  0.383  0.139  0.117
Ni  0.617  0.861  0.117
Ni  0.500  0.500  0.750
Ni  0.130  0.385  0.869
Ni  0.385  0.130  0.869
Ni  0.000  0.000  0.250
Ni  0.617  0.861  0.383
Ni  0.861  0.617  0.383
Ni  0.000  0.000  0.750
Ni  0.615  0.870  0.869
Ni  0.870  0.615  0.869
Sb  0.246  0.754  0.250
Sb  0.754  0.246  0.250
Sb  0.000  0.000  0.505
Sb  0.000  0.000  0.995
Si  0.248  0.752  0.750
Si  0.752  0.248  0.750
Si  0.500  0.500  0.508
Si  0.500  0.500  0.992


The following is a DFT calculation (PBE) of a geometry-optimized Si2NiSb structure.

Crystal system ... orthorhombic
Theoretical density ... 5.7 g/cm3
Formation energy (no corrections) ... 0.383 eV per atom
Symmetry ... Imm2, No. 44

Lattice parameters (Å, degrees): 4.848 4.848 4.848 136.05 116.84 80.13
Sites, in units of the cell vectors:
Ni  0.536  0.536  0.000
Sb  0.259  0.759  0.500
Si  0.966  0.966  0.000
Si  0.739  0.239  0.500


The following is a DFT calculation (PBE) of a geometry-optimized SiNiSb2 structure.

Crystal system ... orthorhombic
Theoretical density ... 6.8 g/cm3
Formation energy (no corrections) ... 0.038 eV per atom
Symmetry ... Amm2, No. 38

Lattice parameters (Å, degrees): 4.136 4.515 4.515 72.32 90.00 90.00
Sites, in units of the cell vectors:
Ni  0.500  0.711  0.711
Sb  0.000  0.933  0.933
Sb  0.500  0.304  0.304
Si  0.000  0.552  0.552


The following is a DFT calculation (PBE) of a geometry-optimized Si2Ni2Sb structure.

Relative energy among the computed polymorphs ... 0.000 eV/atom
Crystal system ... tetragonal
Theoretical density ... 6.6 g/cm3
Formation energy (no corrections) ... -0.187 eV per atom
Symmetry ... I4/mmm, No. 139

Lattice parameters (Å, degrees): 3.641 3.641 6.135 72.74 72.74 90.00
Sites, in units of the cell vectors:
Sb  0.000  0.000  0.000
Si  0.750  0.250  0.500
Si  0.250  0.750  0.500
Ni  0.381  0.381  0.238
Ni  0.619  0.619  0.762


The following is a DFT calculation (PBE) of a geometry-optimized Si2NiSb structure.

Crystal system ... monoclinic
Theoretical density ... 5.7 g/cm3
Formation energy (no corrections) ... 0.076 eV per atom
Symmetry ... C2/m, No. 12

Lattice parameters (Å, degrees): 3.974 3.974 5.674 75.87 75.87 52.64
Sites, in units of the cell vectors:
Ni  0.750  0.750  0.750
Sb  0.250  0.250  0.250
Si  0.024  0.024  0.902
Si  0.476  0.476  0.598


The following is a DFT calculation (PBE) of a geometry-optimized SiNi2Sb structure.

Relative energy among the computed polymorphs ... 0.322 eV/atom
Crystal system ... tetragonal
Theoretical density ... 7.7 g/cm3
Formation energy (no corrections) ... 0.092 eV per atom
Symmetry ... P4/mmm, No. 123

Lattice parameters (Å, degrees): 4.118 4.118 3.420 90.00 90.00 90.00
Sites, in units of the cell vectors:
Ni  0.000  0.000  0.000
Ni  0.500  0.500  0.000
Sb  0.500  0.000  0.500
Si  0.000  0.500  0.500


The following is a DFT calculation (PBE) of a geometry-optimized Si2NiSb structure.

Crystal system ... cubic
Theoretical density ... 5.9 g/cm3
Formation energy (no corrections) ... 0.471 eV per atom
Symmetry ... F-43m, No. 216

Lattice parameters (Å, degrees): 4.545 4.545 4.545 60.00 60.00 60.00
Sites, in units of the cell vectors:
Ni  0.500  0.500  0.500
Sb  0.750  0.750  0.750
Si  0.000  0.000  0.000
Si  0.250  0.250  0.250


The following is a DFT calculation (PBE) of a geometry-optimized Si2NiSb structure.

Crystal system ... tetragonal
Theoretical density ... 5.0 g/cm3
Formation energy (no corrections) ... 0.156 eV per atom
Symmetry ... I-42d, No. 122

Lattice parameters (Å, degrees): 4.744 4.744 7.805 72.31 72.31 90.00
Sites, in units of the cell vectors:
Sb  0.000  0.000  0.000
Sb  0.750  0.250  0.500
Si  0.512  0.125  0.250
Si  0.238  0.625  0.250
Si  0.375  0.488  0.750
Si  0.875  0.762  0.750
Ni  0.500  0.500  0.000
Ni  0.250  0.750  0.500


The following is a DFT calculation (PBE) of a geometry-optimized SiNi2Sb structure.

Relative energy among the computed polymorphs ... 0.585 eV/atom
Crystal system ... cubic
Theoretical density ... 7.4 g/cm3
Formation energy (no corrections) ... 0.355 eV per atom
Symmetry ... F-43m, No. 216

Lattice parameters (Å, degrees): 4.395 4.395 4.395 60.00 60.00 60.00
Sites, in units of the cell vectors:
Ni  0.000  0.000  0.000
Ni  0.750  0.750  0.750
Sb  0.500  0.500  0.500
Si  0.250  0.250  0.250


The following is a DFT calculation (PBE) of a geometry-optimized Si2NiSb structure.

Crystal system ... monoclinic
Theoretical density ... 5.9 g/cm3
Formation energy (no corrections) ... 0.255 eV per atom
Symmetry ... C2/m, No. 12

Lattice parameters (Å, degrees): 3.680 5.557 3.693 71.14 88.43 108.79
Sites, in units of the cell vectors:
Ni  0.000  0.500  0.500
Sb  0.500  0.500  0.000
Si  0.000  0.000  0.000
Si  0.500  0.000  0.500


The following is a DFT calculation (PBE) of a geometry-optimized SiNiSb2 structure.

Crystal system ... cubic
Theoretical density ... 6.8 g/cm3
Formation energy (no corrections) ... 0.593 eV per atom
Symmetry ... F-43m, No. 216

Lattice parameters (Å, degrees): 4.843 4.843 4.843 60.00 60.00 60.00
Sites, in units of the cell vectors:
Ni  0.500  0.500  0.500
Sb  0.000  0.000  0.000
Sb  0.250  0.250  0.250
Si  0.750  0.750  0.750


The following is a DFT calculation (PBE) of a geometry-optimized Si2NiSb structure.

Crystal system ... monoclinic
Theoretical density ... 5.8 g/cm3
Formation energy (no corrections) ... 0.100 eV per atom
Symmetry ... P2/m, No. 10

Lattice parameters (Å, degrees): 4.042 4.067 4.278 76.11 90.00 90.00
Sites, in units of the cell vectors:
Ni  0.500  0.250  0.250
Sb  0.500  0.750  0.750
Si  0.000  0.050  0.071
Si  0.000  0.450  0.429


The following is a DFT calculation (PBE) of a geometry-optimized SiNiSb structure.

Crystal system ... trigonal
Theoretical density ... 6.3 g/cm3
Formation energy (no corrections) ... 0.020 eV per atom
Symmetry ... P3m1, No. 156

Lattice parameters (Å, degrees): 3.845 3.845 4.290 90.00 90.00 120.00
Sites, in units of the cell vectors:
Ni  0.000  0.000  0.935
Sb  0.667  0.333  0.269
Si  0.333  0.667  0.797


The following is a DFT calculation (PBE) of a geometry-optimized SiNiSb structure.

Crystal system ... orthorhombic
Theoretical density ... 6.5 g/cm3
Formation energy (no corrections) ... 0.073 eV per atom
Symmetry ... Amm2, No. 38

Lattice parameters (Å, degrees): 3.396 3.394 10.596 90.00 90.00 120.02
Sites, in units of the cell vectors:
Ni  0.445  0.890  0.000
Ni  0.444  0.887  0.500
Si  0.777  0.554  0.376
Si  0.777  0.554  0.624
Sb  0.112  0.224  0.837
Sb  0.112  0.224  0.163


The following is a DFT calculation (PBE) of a geometry-optimized Si2Ni7Sb structure.

Crystal system ... tetragonal
Theoretical density ... 7.7 g/cm3
Formation energy (no corrections) ... -0.323 eV per atom
Symmetry ... I4/mmm, No. 139

Lattice parameters (Å, degrees): 3.732 3.732 9.476 101.36 101.36 90.00
Sites, in units of the cell vectors:
Si  0.675  0.675  0.350
Si  0.325  0.325  0.650
Ni  0.103  0.603  0.206
Ni  0.397  0.897  0.794
Ni  0.603  0.103  0.206
Ni  0.500  0.500  0.000
Ni  0.750  0.250  0.500
Ni  0.897  0.397  0.794
Ni  0.250  0.750  0.500
Sb  0.000  0.000  0.000


The following is a DFT calculation (PBE) of a geometry-optimized SiNi2Sb structure.

Relative energy among the computed polymorphs ... 0.096 eV/atom
Crystal system ... monoclinic
Theoretical density ... 7.3 g/cm3
Formation energy (no corrections) ... -0.135 eV per atom
Symmetry ... C2/m, No. 12

Lattice parameters (Å, degrees): 3.900 3.900 5.677 77.68 77.68 46.21
Sites, in units of the cell vectors:
Ni  0.987  0.987  0.069
Ni  0.513  0.513  0.431
Sb  0.750  0.750  0.750
Si  0.250  0.250  0.250


The following is a DFT calculation (PBE) of a geometry-optimized SiNi2Sb structure.

Relative energy among the computed polymorphs ... 0.059 eV/atom
Crystal system ... orthorhombic
Theoretical density ... 7.3 g/cm3
Formation energy (no corrections) ... -0.172 eV per atom
Symmetry ... Pmmm, No. 47

Lattice parameters (Å, degrees): 2.932 2.929 7.036 89.99 90.00 90.00
Sites, in units of the cell vectors:
Ni  0.000  0.250  0.925
Ni  0.000  0.250  0.575
Sb  0.500  0.250  0.250
Si  0.500  0.750  0.750


The following is a DFT calculation (PBE) of a geometry-optimized SiNi4Sb structure.

Crystal system ... cubic
Theoretical density ... 8.0 g/cm3
Formation energy (no corrections) ... 0.089 eV per atom
Symmetry ... F-43m, No. 216

Lattice parameters (Å, degrees): 4.825 4.825 4.825 60.00 60.00 60.00
Sites, in units of the cell vectors:
Si  0.000  0.000  0.000
Ni  0.877  0.374  0.374
Ni  0.374  0.374  0.877
Ni  0.374  0.877  0.374
Ni  0.374  0.374  0.374
Sb  0.750  0.750  0.750


The following is a DFT calculation (PBE) of a geometry-optimized SiNiSb2 structure.

Crystal system ... orthorhombic
Theoretical density ... 6.7 g/cm3
Formation energy (no corrections) ... 0.418 eV per atom
Symmetry ... Immm, No. 71

Lattice parameters (Å, degrees): 5.101 5.101 5.101 135.58 114.54 82.56
Sites, in units of the cell vectors:
Ni  0.250  0.750  0.500
Sb  0.020  0.020  0.000
Sb  0.480  0.480  0.000
Si  0.750  0.250  0.500


The following is a DFT calculation (PBE) of a geometry-optimized Si3NiSb structure.

Relative energy among the computed polymorphs ... 0.000 eV/atom
Crystal system ... cubic
Theoretical density ... 4.8 g/cm3
Formation energy (no corrections) ... 0.337 eV per atom
Symmetry ... Pm-3m, No. 221

Lattice parameters (Å, degrees): 4.501 4.501 4.501 90.00 90.00 90.00
Sites, in units of the cell vectors:
Sb  0.500  0.500  0.500
Si  0.000  0.500  0.000
Si  0.000  0.000  0.500
Si  0.500  0.000  0.000
Ni  0.000  0.000  0.000


The following is a DFT calculation (PBE) of a geometry-optimized SiNiSb2 structure.

Crystal system ... tetragonal
Theoretical density ... 6.8 g/cm3
Formation energy (no corrections) ... 0.460 eV per atom
Symmetry ... I-4m2, No. 119

Lattice parameters (Å, degrees): 5.858 5.858 5.858 140.65 140.65 56.86
Sites, in units of the cell vectors:
Ni  0.750  0.250  0.500
Sb  0.000  0.000  0.000
Sb  0.250  0.750  0.500
Si  0.500  0.500  0.000


The following is a DFT calculation (PBE) of a geometry-optimized SiNi3Sb structure.

Relative energy among the computed polymorphs ... 0.816 eV/atom
Crystal system ... cubic
Theoretical density ... 5.5 g/cm3
Formation energy (no corrections) ... 0.983 eV per atom
Symmetry ... Pm-3m, No. 221

Lattice parameters (Å, degrees): 4.626 4.626 4.626 90.00 90.00 90.00
Sites, in units of the cell vectors:
Sb  0.000  0.000  0.000
Si  0.500  0.500  0.500
Ni  0.000  0.500  0.000
Ni  0.000  0.000  0.500
Ni  0.500  0.000  0.000


The following is a DFT calculation (PBE) of a geometry-optimized Si2NiSb structure.

Crystal system ... tetragonal
Theoretical density ... 5.9 g/cm3
Formation energy (no corrections) ... 0.409 eV per atom
Symmetry ... P4/mmm, No. 123

Lattice parameters (Å, degrees): 3.712 3.712 4.840 90.00 90.00 90.00
Sites, in units of the cell vectors:
Ni  0.500  0.000  0.500
Sb  0.000  0.500  0.500
Si  0.000  0.000  0.000
Si  0.500  0.500  0.000


DFT total energy list, top to bottom, in eV per atom: -5.21; -4.66; -5.09; -4.14; -4.74; -5.81; -4.80; -4.82; -5.49; -5.11; -5.19; -4.72; -5.03; -4.92; -4.93; -4.27; -5.09; -5.09; -5.04; -5.87; -5.41; -5.45; -5.36; -4.44; -4.90; -4.40; -4.39; -4.78